No. 1
# Nd2ScTe3

Crystalline Nd2ScTe3 at its relaxed geometry (PBE, the Alexandria database).

Electronic total energy = -32.1 eV per formula unit
Offset from the most stable computed form = 0.178 eV per atom
Formation energy from raw total energies = -1.1269 eV per atom

Cell lengths 9.203, 9.203, 9.203 Å; angles 154.40, 146.25, 42.84 degrees
Sites, in units of the cell vectors:
1 Nd 0.143 0.143 0.000
2 Nd 0.857 0.857 0.000
3 Sc 0.500 0.500 0.000
4 Te 0.000 0.500 0.500
5 Te 0.330 0.330 0.000
6 Te 0.670 0.670 0.000


No. 2
# KCaRuO2

Crystalline KCaRuO2 at its relaxed geometry (PBE, the Alexandria database).

Electronic total energy = -20.7 eV per formula unit
Offset from the most stable computed form = 0.000 eV per atom
Formation energy from raw total energies = 0.3199 eV per atom

Cell lengths 4.461, 4.461, 5.200 Å; angles 90.00, 90.00, 90.00 degrees
Sites, in units of the cell vectors:
1 K 0.000 0.000 0.000
2 Ca 0.000 0.000 0.500
3 Ru 0.500 0.500 0.000
4 O 0.000 0.500 0.500
5 O 0.500 0.000 0.500


No. 3
# CaHoAg

Crystalline CaHoAg at its relaxed geometry (PBE, the Alexandria database).

Electronic total energy = -9.3 eV per formula unit
ΔH_f (0 K) = 0.04 eV per atom
Offset from the most stable computed form = 0.199 eV per atom

Cell lengths 5.063, 5.063, 3.919 Å; angles 90.00, 90.00, 120.00 degrees
Sites, in units of the cell vectors:
1 Ca 0.000 0.000 0.000
2 Ho 0.333 0.667 0.525
3 Ag 0.667 0.333 0.347


No. 4
# YTlSeN2

Crystalline YTlSeN2 at its relaxed geometry (PBE, the Alexandria database).

Electronic total energy = -26.6 eV per formula unit
Offset from the most stable computed form = 0.000 eV per atom
Formation energy from raw total energies = 0.4638 eV per atom

Cell lengths 4.668, 4.668, 5.698 Å; angles 90.00, 90.00, 90.00 degrees
Sites, in units of the cell vectors:
1 Y 0.000 0.000 0.000
2 Tl 0.500 0.500 0.500
3 Se 0.000 0.000 0.500
4 N 0.000 0.500 0.000
5 N 0.500 0.000 0.000


No. 5
# Ca2In2Rh

Crystalline Ca2In2Rh at its relaxed geometry (PBE, the Alexandria database).

Electronic total energy = -18.4 eV per formula unit
ΔH_f (0 K) = -0.32 eV per atom

Cell lengths 7.173, 7.173, 5.018 Å; angles 90.00, 90.00, 90.00 degrees
Sites, in units of the cell vectors:
1 Ca 0.176 0.324 0.000
2 Ca 0.324 0.824 0.000
3 Ca 0.676 0.176 0.000
4 Ca 0.824 0.676 0.000
5 In 0.144 0.644 0.500
6 In 0.356 0.144 0.500
7 In 0.644 0.856 0.500
8 In 0.856 0.356 0.500
9 Rh 0.000 0.000 0.500
10 Rh 0.500 0.500 0.500


No. 6
# TbP3Ir6

Crystalline TbP3Ir6 at its relaxed geometry (PBE, the Alexandria database).

Electronic total energy = -78.9 eV per formula unit
ΔH_f (0 K) = -0.49 eV per atom

Cell lengths 6.794, 6.794, 6.794 Å; angles 47.66, 47.66, 47.66 degrees
Sites, in units of the cell vectors:
1 Tb 0.000 0.000 0.000
2 P 0.301 0.301 0.301
3 P 0.637 0.637 0.637
4 P 0.838 0.838 0.838
5 Ir 0.071 0.577 0.556
6 Ir 0.296 0.454 0.872
7 Ir 0.454 0.872 0.296
8 Ir 0.556 0.071 0.577
9 Ir 0.577 0.556 0.071
10 Ir 0.872 0.296 0.454


No. 7
# Pm4Si2Cl5

Crystalline Pm4Si2Cl5 at its relaxed geometry (PBE, the Alexandria database).

Electronic total energy = -55.9 eV per formula unit
Formation energy from raw total energies = -1.5289 eV per atom

Cell lengths 11.610, 11.610, 8.066 Å; angles 100.23, 100.23, 20.23 degrees
Sites, in units of the cell vectors:
1 Pm 0.012 0.012 0.277
2 Pm 0.338 0.338 0.537
3 Pm 0.662 0.662 0.463
4 Pm 0.988 0.988 0.723
5 Si 0.449 0.449 0.452
6 Si 0.551 0.551 0.548
7 Cl 0.133 0.133 0.223
8 Cl 0.223 0.223 0.667
9 Cl 0.500 0.500 0.000
10 Cl 0.777 0.777 0.333
11 Cl 0.867 0.867 0.777


No. 8
# Ce6TlSb

Crystalline Ce6TlSb at its relaxed geometry (PBE, the Alexandria database).

Electronic total energy = -44.1 eV per formula unit
Formation energy from raw total energies = -0.2542 eV per atom

Cell lengths 5.975, 5.981, 6.233 Å; angles 87.04, 87.00, 80.06 degrees
Sites, in units of the cell vectors:
1 Ce 0.046 0.458 0.252
2 Ce 0.215 0.050 0.488
3 Ce 0.451 0.290 0.015
4 Ce 0.549 0.710 0.985
5 Ce 0.785 0.950 0.512
6 Ce 0.954 0.542 0.748
7 Tl 0.000 0.000 0.000
8 Sb 0.500 0.500 0.500


No. 9
# Sr3Rh2Pb4

Crystalline Sr3Rh2Pb4 at its relaxed geometry (PBE, the Alexandria database).

Electronic total energy = -38.4 eV per formula unit
ΔH_f (0 K) = -0.43 eV per atom

Cell lengths 4.907, 6.459, 9.210 Å; angles 101.94, 90.01, 112.31 degrees
Sites, in units of the cell vectors:
1 Sr 0.000 0.000 0.000
2 Sr 0.383 0.767 0.309
3 Sr 0.617 0.233 0.691
4 Rh 0.299 0.596 0.615
5 Rh 0.701 0.404 0.385
6 Pb 0.102 0.206 0.394
7 Pb 0.292 0.585 0.912
8 Pb 0.708 0.415 0.088
9 Pb 0.898 0.794 0.606


No. 10
# ZrSiRu3

Crystalline ZrSiRu3 at its relaxed geometry (PBE, the Alexandria database).

Electronic total energy = -32.7 eV per formula unit
Offset from the most stable computed form = 1.851 eV per atom
Formation energy from raw total energies = 1.8154 eV per atom

Cell lengths 4.758, 4.758, 4.758 Å; angles 90.00, 90.00, 90.00 degrees
Sites, in units of the cell vectors:
1 Zr 0.000 0.000 0.000
2 Si 0.500 0.500 0.500
3 Ru 0.000 0.000 0.500
4 Ru 0.000 0.500 0.000
5 Ru 0.500 0.000 0.000


No. 11
# RbNa3Np2S6

Crystalline RbNa3Np2S6 at its relaxed geometry (PBE, the Alexandria database).

Electronic total energy = -70.6 eV per formula unit
Formation energy from raw total energies = -1.2499 eV per atom

Cell lengths 9.091, 9.091, 8.535 Å; angles 100.46, 100.46, 25.91 degrees
Sites, in units of the cell vectors:
1 Rb 0.000 0.000 0.000
2 Na 0.000 0.000 0.500
3 Na 0.341 0.341 0.174
4 Na 0.659 0.659 0.826
5 Np 0.332 0.332 0.661
6 Np 0.668 0.668 0.339
7 S 0.175 0.175 0.562
8 S 0.180 0.180 0.134
9 S 0.479 0.479 0.711
10 S 0.521 0.521 0.289
11 S 0.820 0.820 0.866
12 S 0.825 0.825 0.438


No. 12
# LiAl2Mo

Crystalline LiAl2Mo at its relaxed geometry (PBE, the Alexandria database).

Electronic total energy = -20.0 eV per formula unit
ΔH_f (0 K) = 0.05 eV per atom
Offset from the most stable computed form = 0.241 eV per atom

Cell lengths 2.765, 4.155, 5.355 Å; angles 90.00, 90.00, 90.00 degrees
Sites, in units of the cell vectors:
1 Li 0.000 0.000 0.000
2 Al 0.000 0.000 0.478
3 Al 0.500 0.500 0.773
4 Mo 0.500 0.500 0.269


Question: electronic total energy of number 4 (YTlSeN2)?
Answer: -26.6 eV per formula unit